Entry 1:
{"formula": "Y4PdRh2", "functional": "PBE", "state": "relaxed", "lattice_angstrom": [[6.148, -4.320, 0.000], [6.148, 4.320, 0.000], [-6.148, 0.000, 6.148]], "species": ["Y", "Y", "Y", "Y", "Y", "Y", "Y", "Y", "Pd", "Pd", "Rh", "Rh", "Rh", "Rh"], "frac_coords": [[0.062, 0.062, 0.248], [0.323, 0.551, 0.623], [0.449, 0.677, 0.377], [0.451, 0.177, 0.876], [0.564, 0.064, 0.252], [0.823, 0.549, 0.124], [0.936, 0.436, 0.748], [0.938, 0.938, 0.752], [0.068, 0.932, 0.500], [0.319, 0.681, 0.000], [0.193, 0.307, 0.120], [0.565, 0.179, 0.622], [0.693, 0.807, 0.880], [0.821, 0.435, 0.378]]}



Entry 2:
{"formula": "Tm3CdS", "functional": "PBE", "state": "relaxed", "formation_energy_uncorrected_ev_per_atom": -0.73, "lattice_angstrom": [[5.093, 0.000, 0.000], [0.000, 5.093, 0.000], [0.000, 0.000, 5.093]], "species": ["Tm", "Tm", "Tm", "Cd", "S"], "frac_coords": [[0.000, 0.000, 0.500], [0.000, 0.500, 0.000], [0.500, 0.000, 0.000], [0.500, 0.500, 0.500], [0.000, 0.000, 0.000]]}



Entry 3:
{"formula": "TcBr", "functional": "PBE", "state": "relaxed", "formation_energy_uncorrected_ev_per_atom": 0.36, "lattice_angstrom": [[8.017, -1.634, 0.000], [8.017, 1.634, 0.000], [-2.254, 0.000, 6.295]], "species": ["Tc", "Tc", "Tc", "Br", "Br", "Br"], "frac_coords": [[0.000, 0.000, 0.000], [0.549, 0.549, 0.258], [0.633, 0.633, 0.976], [0.067, 0.067, 0.631], [0.225, 0.225, 0.232], [0.366, 0.366, 0.820]]}



Here are the calculated energy above the lowest structure with this stoichiometry numbers, same order: 5, 78, 62 (kJ/mol of formula units).